## FeCoNi2 (PBEsol)

Data for a geometry-optimized FeCoNi2 structure.

Cell: 3.9205 3.9205 3.9205 Å, 60.00 60.00 60.00°
Closest atoms and distances in Å follow each position.
Fractional coordinates of all 4 atoms:
Fe: 0.0000 0.0000 0.0000  4 Co 2.40, 4 Ni 2.40
Co: 0.2500 0.2500 0.2500  4 Fe 2.40, 4 Ni 2.40
Ni: 0.5000 0.5000 0.5000  4 Co 2.40, 4 Ni 2.40
Ni: 0.7500 0.7500 0.7500  4 Fe 2.40, 4 Ni 2.40

## Properties
- Space-group type: F-43m, No. 216
- E_tot: -0.52908 Ry per atom
- Density of states at the Fermi level: 4.222 states/eV/f.u.

=====

## BaSrAl2 (PBEsol)

Data for a geometry-optimized BaSrAl2 structure.

Cell: 4.6577 7.0783 7.0783 Å, 34.90 90.00 90.00°
Closest atoms and distances in Å follow each position.
Fractional coordinates of all 4 atoms:
Ba: 0.0000 0.0000 0.0000  6 Al 3.45-3.56
Sr: 0.5000 0.2989 0.2989  6 Al 3.36-3.38
Al: 0.0000 0.7119 0.7119  2 Al 2.75
Al: 0.5000 0.6042 0.6042  2 Al 2.75

## Properties
- Space-group type: Amm2, No. 38
- E_tot: -0.23228 Ry per atom
- E above lowest polymorph: 0 meV/atom
- Density of states at the Fermi level: 2.882 states/eV/f.u.

=====

## SrMnAs (PBEsol)

Data for a geometry-optimized SrMnAs structure.

Cell: 4.9388 4.9388 4.9388 Å, 60.00 60.00 60.00°
Closest atoms and distances in Å follow each position.
Fractional coordinates of all 3 atoms:
Sr: 0.0000 0.0000 0.0000  4 As 3.02, 4 Mn 3.02
Mn: 0.2500 0.2500 0.2500  4 Sr 3.02
As: 0.7500 0.7500 0.7500  4 Sr 3.02

## Properties
- Space-group type: F-43m, No. 216
- E_tot: -0.36597 Ry per atom
- Density of states at the Fermi level: 2.214 states/eV/f.u.

=====

## KPb2Au (PBEsol)

Data for a geometry-optimized KPb2Au structure.

Cell: 4.7230 4.7230 7.1514 Å, 109.27 109.27 59.96°
Closest atoms and distances in Å follow each position.
Fractional coordinates of all 4 atoms:
K: 0.0000 0.0000 0.0000  1 Au 3.45, 6 Pb 3.54-3.62
Pb: 0.2126 0.2126 0.6405  3 Au 2.93
Pb: 0.4463 0.4463 0.3411  3 Au 2.87
Au: 0.8251 0.8251 0.4777  6 Pb 2.87-2.93

## Properties
- Space-group type: Cm, No. 8
- E_tot: -0.25238 Ry per atom
- Density of states at the Fermi level: 1.031 states/eV/f.u.

=====

## KBe3 (PBEsol)

Data for a geometry-optimized KBe3 structure.

Cell: 2.4431 3.6761 7.0068 Å, 90.00 96.93 90.00°
Closest atoms and distances in Å follow each position.
Fractional coordinates of all 4 atoms:
K: 0.0000 0.0000 0.0000  2 K 2.44
Be: 0.2118 0.5000 0.6350  3 Be 2.04-2.22
Be: 0.5000 0.0000 0.5000  6 Be 2.22-2.44
Be: 0.7882 0.5000 0.3650  3 Be 2.04-2.22

## Properties
- Space-group type: P2/m, No. 10
- E_tot: -0.18857 Ry per atom
- Density of states at the Fermi level: 1.191 states/eV/f.u.

=====

## BaP2 (PBEsol)

Data for a geometry-optimized BaP2 structure.

Cell: 7.7973 7.7973 7.7973 Å, 146.26 146.26 48.46°
Closest atoms and distances in Å follow each position.
Fractional coordinates of all 6 atoms:
Ba: 0.3750 0.6250 0.7500  12 P 3.33-3.39
Ba: 0.6250 0.3750 0.2500  12 P 3.33-3.39
P: 0.0464 0.7964 0.2500  1 P 2.23
P: 0.2036 0.9536 0.2500  1 P 2.23
P: 0.7964 0.0464 0.7500  1 P 2.23
P: 0.9536 0.2036 0.7500  1 P 2.23

## Properties
- Space-group type: I4_1/amd, No. 141
- E_tot: -0.38716 Ry per atom
- Density of states at the Fermi level: 1.049 states/eV/f.u.